K3NpTi2Te6: relaxed, PBE.

```
K3NpTi2Te6
1.0
7.399 -0.017 -0.007
-3.712 6.400 -0.007
-1.239 -2.144 8.247
K Np Ti Te
3 1 2 6
direct
0.159 0.841 0.500 K
0.841 0.159 0.500 K
0.500 0.500 0.500 K
0.000 0.000 0.000 Np
0.329 0.671 0.000 Ti
0.671 0.329 0.000 Ti
0.932 0.579 0.800 Te
0.709 0.709 0.193 Te
0.068 0.421 0.200 Te
0.579 0.932 0.800 Te
0.291 0.291 0.807 Te
0.421 0.068 0.200 Te
```

Summary:
Space group = C2/m, No. 12
Magnetization = 6.00 μB per formula unit
E = -5.0852 eV per atom